# TiMoNF2 (GGA+U, optimized geometry)
# Magnetic moment   4.98 μB per formula unit
# DFT total energy   -6.67 eV per atom
data_TiMoNF2
_chemical_formula_sum 'Ti1 Mo1 N1 F2'
_cell_length_a 4.0057
_cell_length_b 4.0057
_cell_length_c 4.0687
_cell_angle_alpha 90.00
_cell_angle_beta 90.00
_cell_angle_gamma 90.00
_symmetry_space_group_name_H-M 'P 4/m m m'
_symmetry_Int_Tables_number 123
_symmetry_space_group_name_Hall '-P 4 2'
loop_
_atom_site_label
_atom_site_type_symbol
_atom_site_fract_x
_atom_site_fract_y
_atom_site_fract_z
Ti1 Ti 0.0000 0.0000 0.0000
Mo1 Mo 0.5000 0.5000 0.5000
N1 N 0.0000 0.0000 0.5000
F1 F 0.0000 0.5000 0.0000